(1)
This record from Alexandria via LeMat-Bulk describes crystalline Ta4C3 at its relaxed geometry. The functional is GGA-PBEsol.

Structure (extended XYZ):
```
7
Lattice="3.1052 0.0000 0.0000 1.5526 2.6892 0.0000 1.5526 0.8964 10.1712" Properties=species:S:1:pos:R:3 pbc="T T T"
C 3.1052 1.7928 5.1659
C 1.5526 0.8964 10.0476
C 4.6578 2.6892 2.5796
Ta 3.1052 1.7928 1.2215
Ta 3.1052 1.7928 8.8807
Ta 4.6578 2.6892 6.3978
Ta 1.5526 0.8964 3.8997
```

Values from the calculation:
**Calculated formation energy**: -627 meV/atom
**Symmetry**: R3m

(2)
This record from Alexandria via LeMat-Bulk describes crystalline TaC at its relaxed geometry. The functional is GGA-PBEsol.

Structure (extended XYZ):
```
2
Lattice="-1.0488 -1.1179 2.6368 2.9066 0.9652 -0.1986 -0.8725 2.8003 0.8402" Properties=species:S:1:pos:R:3 pbc="T T T"
C 0.0000 0.0000 0.0000
Ta -0.9606 0.8412 1.7385
```

Values from the calculation:
**Calculated formation energy**: 231 meV/atom
**Symmetry**: Cmmm

(3)
This record from Alexandria via LeMat-Bulk describes crystalline TaC at its relaxed geometry. The functional is GGA-PBEsol.

Structure (extended XYZ):
```
6
Lattice="-0.1292 -2.3182 -1.8255 5.2192 0.4227 -0.9063 -1.4676 -1.7882 4.7639" Properties=species:S:1:pos:R:3 pbc="T T T"
C 3.8840 -2.9191 1.0428
C 1.1657 -2.2956 0.4434
C 3.3984 -1.3772 -0.8810
Ta 2.4097 -1.9425 2.2962
Ta 1.8815 -0.1454 0.0515
Ta -0.4916 -1.3183 1.7089
```

Values from the calculation:
**Calculated formation energy**: -182 meV/atom
**Symmetry**: Cm

(4)
This record from Alexandria via LeMat-Bulk describes crystalline TaC at its relaxed geometry. The functional is GGA-PBEsol.

Structure (extended XYZ):
```
4
Lattice="-0.2577 0.7555 -2.9610 -3.0628 -0.4552 0.1504 -2.1853 4.5978 1.3633" Properties=species:S:1:pos:R:3 pbc="T T T"
C -3.4379 1.4527 -1.7122
C -2.0680 3.4453 0.2650
Ta -3.7213 3.5444 -1.1539
Ta -1.7845 1.3536 -0.2933
```

Values from the calculation:
**Calculated formation energy**: -277 meV/atom
**Symmetry**: Cmcm

(5)
This record from Alexandria via LeMat-Bulk describes crystalline TaC2 at its relaxed geometry. The functional is GGA-PBEsol.

Structure (extended XYZ):
```
6
Lattice="-0.3505 -0.0360 2.7159 -2.6390 -0.6435 -0.3491 3.1418 -6.4811 -1.0611" Properties=species:S:1:pos:R:3 pbc="T T T"
C 0.9680 -4.7527 1.4428
C 1.3273 -5.4966 0.0985
C 0.3285 -2.1041 1.3953
C -1.1750 -1.6640 1.2071
Ta -0.4960 -3.7322 -0.1134
Ta 0.0000 0.0000 0.0000
```

Values from the calculation:
**Calculated formation energy**: 776 meV/atom
**Symmetry**: I4_1/amd

(6)
This record from Alexandria via LeMat-Bulk describes crystalline TaC at its relaxed geometry. The functional is GGA-PBEsol.

Structure (extended XYZ):
```
6
Lattice="-1.4815 -2.7307 -0.3262 2.8725 -2.0477 4.0951 -4.7217 2.4459 0.9681" Properties=species:S:1:pos:R:3 pbc="T T T"
C 0.0000 0.0000 0.0000
C -0.3996 -1.9152 2.8896
C -2.9310 -0.4173 1.8473
Ta -0.9246 0.1991 2.5316
Ta -2.3608 1.2230 0.4841
Ta 1.4363 -1.0238 2.0475
```

Values from the calculation:
**Calculated formation energy**: 566 meV/atom
**Symmetry**: P6/mmm

(7)
This record from Alexandria via LeMat-Bulk describes crystalline Ta2C at its relaxed geometry. The functional is GGA-PBEsol.

Structure (extended XYZ):
```
3
Lattice="3.0503 0.0000 0.0000 0.0000 3.0503 0.0000 0.0000 0.0000 4.4451" Properties=species:S:1:pos:R:3 pbc="T T T"
C 0.0000 0.0000 0.0000
Ta 0.0000 0.0000 2.2226
Ta 1.5251 1.5251 0.0000
```

Values from the calculation:
**Calculated formation energy**: -391 meV/atom
**Symmetry**: P4/mmm

(8)
This record from Alexandria via LeMat-Bulk describes crystalline TaC2 at its relaxed geometry. The functional is GGA-PBEsol.

Structure (extended XYZ):
```
3
Lattice="3.6559 0.0000 0.0000 1.8279 3.1661 0.0000 1.8279 1.0554 3.1488" Properties=species:S:1:pos:R:3 pbc="T T T"
C 1.8279 1.0554 0.8388
C 3.6559 2.1107 2.6038
Ta 1.8279 1.0554 2.8546
```

Values from the calculation:
**Calculated formation energy**: 682 meV/atom
**Symmetry**: R3m

Question: Which value of calculated formation energy does entry 3 give?
Answer: -182 meV/atom

Question: What is the calculated formation energy in the fifth record?
Answer: 776 meV/atom